Pu3Th2NpAs6 after structural relaxation. Source: the Alexandria database, functional PBE-GGA.

final energy = -9.321 eV/atom
ρ = 10.1 g/cm3
spin magnetization = 9.10 μB/f.u.
crystal system = monoclinic

Cell lengths 18.2277, 4.1902, 8.3520 Å; angles 90.00, 103.11, 90.00 degrees
Last column: nearest neighbours and their distance in Å.
Space group C2/m (No. 12)
Inequivalent atoms, fractional coordinates:
Pu1 0.0000 0.0000 0.0000 (multiplicity 2)  6 As 2.95-2.98
Pu2 0.1679 0.5000 0.3335 (multiplicity 4)  6 As 2.92-2.96
Th1 0.1651 0.5000 0.8306 (multiplicity 4)  6 As 2.98-3.00
Np1 0.0000 0.0000 0.5000 (multiplicity 2)  6 As 2.94
As1 0.0028 0.5000 0.2545 (multiplicity 4)  3 Pu 2.93-2.98, 2 Np 2.94, 1 Th 2.98
As2 0.1660 0.0000 0.0870 (multiplicity 4)  3 Pu 2.93-2.95, 3 Th 2.99-3.00
As3 0.1655 0.0000 0.5754 (multiplicity 4)  3 Pu 2.92-2.96, 1 Np 2.94, 2 Th 2.99

LiSb2F8 after structural relaxation. Source: the Alexandria database, functional PBE-GGA.

ρ = 4.4 g/cm3
spin magnetization = 0.00 μB/f.u.
crystal system = monoclinic
formation energy from raw total energies = -2.346 eV per atom

Cell lengths 9.7665, 6.9342, 4.8703 Å; angles 90.00, 112.30, 90.00 degrees
Last column: nearest neighbours and their distance in Å.
Space group C2/m (No. 12)
Inequivalent atoms, fractional coordinates:
Li1 0.0000 0.0000 0.0000 (multiplicity 2)  6 F 2.06-2.09
Sb1 0.1847 0.5000 0.3246 (multiplicity 4)  4 F 1.95-2.14
F1 0.0884 0.5000 0.8673 (multiplicity 4)  1 Sb 2.06
F2 0.1333 0.0000 0.7507 (multiplicity 4)  1 Sb 1.95, 1 Li 2.09
F3 0.1524 0.1957 0.2632 (multiplicity 8)  1 Li 2.06, 1 Sb 2.14

TiAl2V after structural relaxation. Source: the Alexandria database, functional PBE-GGA.

ρ = 4.2 g/cm3
spin magnetization = 0.00 μB/f.u.
crystal system = tetragonal
excess energy over the best structure of this formula in the dataset = 0 meV/atom

Cell lengths 3.8892, 3.8892, 8.0388 Å; angles 90.00, 90.00, 90.00 degrees
Last column: nearest neighbours and their distance in Å.
Space group I4/mmm (No. 139)
Inequivalent atoms, fractional coordinates:
Ti1 0.0000 0.0000 0.0000 (multiplicity 2)  4 V 2.75, 8 Al 2.80
Al1 0.0000 0.5000 0.2500 (multiplicity 4)  4 Al 2.75, 4 Ti 2.80, 4 V 2.80
V1 0.0000 0.0000 0.5000 (multiplicity 2)  4 Ti 2.75, 8 Al 2.80

Tb2SmCd4 after structural relaxation. Source: the Alexandria database, functional PBE-GGA.

final energy = -2.675 eV/atom
ρ = 7.6 g/cm3
spin magnetization = 0.15 μB/f.u.
crystal system = tetragonal

Cell lengths 5.3678, 5.3678, 13.9245 Å; angles 90.00, 90.00, 90.00 degrees
Last column: nearest neighbours and their distance in Å.
Space group I4/mmm (No. 139)
Inequivalent atoms, fractional coordinates:
Tb1 0.0000 0.0000 0.2396 (multiplicity 4)  8 Cd 3.18-3.35
Sm1 0.0000 0.0000 0.5000 (multiplicity 2)  8 Cd 3.14
Cd1 0.0000 0.5000 0.1167 (multiplicity 8)  2 Sm 3.14, 4 Tb 3.18-3.35, 1 Cd 3.25

TlInNiOs2 after structural relaxation. Source: the Alexandria database, functional PBE-GGA.

final energy = -4.399 eV/atom
ρ = 10.9 g/cm3
spin magnetization = 2.16 μB/f.u.
crystal system = tetragonal

Cell lengths 4.9991, 4.9991, 4.6255 Å; angles 90.00, 90.00, 90.00 degrees
Last column: nearest neighbours and their distance in Å.
Space group P4/mmm (No. 123)
Inequivalent atoms, fractional coordinates:
Tl1 0.0000 0.0000 0.0000 (multiplicity 1)  2 Ni 2.31, 4 Os 2.50
In1 0.5000 0.5000 0.5000 (multiplicity 1)  8 Os 3.41, 4 Ni 3.53
Ni1 0.0000 0.0000 0.5000 (multiplicity 1)  2 Tl 2.31
Os1 0.0000 0.5000 0.0000 (multiplicity 2)  2 Tl 2.50

Te2AsBr after structural relaxation. Source: the Alexandria database, functional PBE-GGA.

ρ = 6.3 g/cm3
spin magnetization = 0.00 μB/f.u.
crystal system = orthorhombic
formation energy from raw total energies = 0.248 eV per atom
excess energy over the best structure of this formula in the dataset = 315 meV/atom

Cell lengths 3.7850, 5.1691, 11.1143 Å; angles 90.00, 90.00, 90.00 degrees
Last column: nearest neighbours and their distance in Å.
Space group Immm (No. 71)
Inequivalent atoms, fractional coordinates:
Te1 0.0000 0.0000 0.1998 (multiplicity 4)  2 As 2.92
As1 0.0000 0.5000 0.5000 (multiplicity 2)  4 Te 2.92, 4 Br 3.20
Br1 0.0000 0.5000 0.0000 (multiplicity 2)  4 As 3.20, 4 Te 3.41

V2Te6Pd after structural relaxation. Source: the Alexandria database, functional PBE-GGA.

ρ = 6.6 g/cm3
spin magnetization = 2.37 μB/f.u.
crystal system = tetragonal
formation energy from raw total energies = -0.164 eV per atom
excess energy over the best structure of this formula in the dataset = 149 meV/atom

Cell lengths 6.3310, 6.3310, 12.1868 Å; angles 90.00, 90.00, 90.00 degrees
Last column: nearest neighbours and their distance in Å.
Space group P4_2/mnm (No. 136)
Inequivalent atoms, fractional coordinates:
V1 0.0000 0.0000 0.1680 (multiplicity 4)  6 Te 2.65-2.70
Te1 0.1930 0.1930 0.0000 (multiplicity 4)  2 V 2.68, 1 Pd 2.75
Te2 0.1990 0.1990 0.3284 (multiplicity 8)  2 V 2.65-2.70, 1 Pd 2.75
Pd1 0.0000 0.0000 0.5000 (multiplicity 2)  6 Te 2.75